# 1
DFT (GGA-PBEsol) results for a relaxed Tb2Ti3Ge4 crystal.

CIF file:
```
data_Tb2Ti3Ge4
_chemical_formula_sum 'Tb8 Ti12 Ge16'
_symmetry_space_group_name_H-M 'P 1'
_symmetry_Int_Tables_number 1
_cell_length_a 6.956
_cell_length_b 13.311
_cell_length_c 7.077
_cell_angle_alpha 90.00
_cell_angle_beta 90.00
_cell_angle_gamma 90.00
loop_
_symmetry_equiv_pos_as_xyz
'x,y,z'
loop_
_atom_site_label
_atom_site_type_symbol
_atom_site_fract_x
_atom_site_fract_y
_atom_site_fract_z
Tb1 Tb 0.002 0.095 0.173
Tb2 Tb 0.002 0.405 0.173
Tb3 Tb 0.498 0.595 0.673
Tb4 Tb 0.498 0.905 0.673
Tb5 Tb 0.502 0.095 0.327
Tb6 Tb 0.502 0.405 0.327
Tb7 Tb 0.998 0.595 0.827
Tb8 Tb 0.998 0.905 0.827
Ti1 Ti 0.159 0.628 0.332
Ti2 Ti 0.159 0.872 0.332
Ti3 Ti 0.166 0.250 0.509
Ti4 Ti 0.334 0.750 0.009
Ti5 Ti 0.341 0.128 0.832
Ti6 Ti 0.341 0.372 0.832
Ti7 Ti 0.659 0.628 0.168
Ti8 Ti 0.659 0.872 0.168
Ti9 Ti 0.666 0.250 0.991
Ti10 Ti 0.834 0.750 0.491
Ti11 Ti 0.841 0.128 0.668
Ti12 Ti 0.841 0.372 0.668
Ge1 Ge 0.039 0.250 0.869
Ge2 Ge 0.171 0.044 0.544
Ge3 Ge 0.171 0.456 0.544
Ge4 Ge 0.193 0.750 0.635
Ge5 Ge 0.307 0.250 0.135
Ge6 Ge 0.329 0.544 0.044
Ge7 Ge 0.329 0.956 0.044
Ge8 Ge 0.461 0.750 0.369
Ge9 Ge 0.539 0.250 0.631
Ge10 Ge 0.671 0.044 0.956
Ge11 Ge 0.671 0.456 0.956
Ge12 Ge 0.693 0.750 0.865
Ge13 Ge 0.807 0.250 0.365
Ge14 Ge 0.829 0.544 0.456
Ge15 Ge 0.829 0.956 0.456
Ge16 Ge 0.961 0.750 0.131
```

Output
SG   Pnma, No. 62
Energy   -62.53 eV per formula unit
Energy of formation   -0.8654 eV per atom

# 2
DFT (GGA-PBEsol) results for a relaxed TbZnGe crystal.

CIF file:
```
data_TbZnGe
_chemical_formula_sum 'Tb2 Zn2 Ge2'
_symmetry_space_group_name_H-M 'P 1'
_symmetry_Int_Tables_number 1
_cell_length_a 4.127
_cell_length_b 4.127
_cell_length_c 7.966
_cell_angle_alpha 90.00
_cell_angle_beta 90.00
_cell_angle_gamma 120.00
loop_
_symmetry_equiv_pos_as_xyz
'x,y,z'
loop_
_atom_site_label
_atom_site_type_symbol
_atom_site_fract_x
_atom_site_fract_y
_atom_site_fract_z
Tb1 Tb 0.000 0.000 0.000
Tb2 Tb 0.000 0.000 0.500
Zn1 Zn 0.333 0.667 0.250
Zn2 Zn 0.667 0.333 0.750
Ge1 Ge 0.333 0.667 0.750
Ge2 Ge 0.667 0.333 0.250
```

Output
SG   P6_3/mmc, No. 194
Energy   -13.62 eV per formula unit
Energy of formation   -0.6957 eV per atom

# 3
DFT (GGA-PBEsol) results for a relaxed Tb4Zn5Ge6 crystal.

CIF file:
```
data_Tb4Zn5Ge6
_chemical_formula_sum 'Tb8 Zn10 Ge12'
_symmetry_space_group_name_H-M 'P 1'
_symmetry_Int_Tables_number 1
_cell_length_a 9.274
_cell_length_b 9.274
_cell_length_c 15.525
_cell_angle_alpha 90.00
_cell_angle_beta 90.00
_cell_angle_gamma 153.73
loop_
_symmetry_equiv_pos_as_xyz
'x,y,z'
loop_
_atom_site_label
_atom_site_type_symbol
_atom_site_fract_x
_atom_site_fract_y
_atom_site_fract_z
Tb1 Tb 0.029 0.971 0.500
Tb2 Tb 0.033 0.967 0.229
Tb3 Tb 0.175 0.825 0.045
Tb4 Tb 0.178 0.822 0.687
Tb5 Tb 0.822 0.178 0.187
Tb6 Tb 0.825 0.175 0.545
Tb7 Tb 0.967 0.033 0.729
Tb8 Tb 0.971 0.029 0.000
Zn1 Zn 0.145 0.855 0.362
Zn2 Zn 0.290 0.710 0.357
Zn3 Zn 0.347 0.653 0.004
Zn4 Zn 0.425 0.575 0.285
Zn5 Zn 0.426 0.574 0.449
Zn6 Zn 0.574 0.426 0.949
Zn7 Zn 0.575 0.425 0.785
Zn8 Zn 0.653 0.347 0.504
Zn9 Zn 0.710 0.290 0.857
Zn10 Zn 0.855 0.145 0.862
Ge1 Ge 0.116 0.884 0.865
Ge2 Ge 0.211 0.789 0.224
Ge3 Ge 0.221 0.779 0.500
Ge4 Ge 0.426 0.574 0.607
Ge5 Ge 0.435 0.565 0.129
Ge6 Ge 0.442 0.558 0.866
Ge7 Ge 0.558 0.442 0.366
Ge8 Ge 0.565 0.435 0.629
Ge9 Ge 0.574 0.426 0.107
Ge10 Ge 0.779 0.221 0.000
Ge11 Ge 0.789 0.211 0.724
Ge12 Ge 0.884 0.116 0.365
```

Output
SG   Cmc2_1, No. 36
Energy   -65.29 eV per formula unit
Energy of formation   -0.5140 eV per atom

# 4
DFT (GGA-PBEsol) results for a relaxed TcGe3 crystal.

CIF file:
```
data_TcGe3
_chemical_formula_sum 'Tc1 Ge3'
_symmetry_space_group_name_H-M 'P 1'
_symmetry_Int_Tables_number 1
_cell_length_a 4.777
_cell_length_b 4.777
_cell_length_c 4.777
_cell_angle_alpha 130.41
_cell_angle_beta 130.41
_cell_angle_gamma 72.75
loop_
_symmetry_equiv_pos_as_xyz
'x,y,z'
loop_
_atom_site_label
_atom_site_type_symbol
_atom_site_fract_x
_atom_site_fract_y
_atom_site_fract_z
Tc1 Tc 0.000 0.000 0.000
Ge1 Ge 0.250 0.750 0.500
Ge2 Ge 0.500 0.500 0.000
Ge3 Ge 0.750 0.250 0.500
```

Output
SG   I4/mmm, No. 139
Energy   -24.64 eV per formula unit
Energy of formation   0.3606 eV per atom

# 5
DFT (GGA-PBEsol) results for a relaxed Ti3TcGe crystal.

CIF file:
```
data_Ti3TcGe
_chemical_formula_sum 'Ti3 Tc1 Ge1'
_symmetry_space_group_name_H-M 'P 1'
_symmetry_Int_Tables_number 1
_cell_length_a 4.609
_cell_length_b 4.609
_cell_length_c 4.609
_cell_angle_alpha 90.00
_cell_angle_beta 90.00
_cell_angle_gamma 90.00
loop_
_symmetry_equiv_pos_as_xyz
'x,y,z'
loop_
_atom_site_label
_atom_site_type_symbol
_atom_site_fract_x
_atom_site_fract_y
_atom_site_fract_z
Ti1 Ti 0.000 0.000 0.500
Ti2 Ti 0.000 0.500 0.000
Ti3 Ti 0.500 0.000 0.000
Tc1 Tc 0.000 0.000 0.000
Ge1 Ge 0.500 0.500 0.500
```

Output
SG   Pm-3m, No. 221
Energy   -38.59 eV per formula unit
Energy of formation   0.5171 eV per atom

# 6
DFT (GGA-PBEsol) results for a relaxed U4Tc7Ge6 crystal.

CIF file:
```
data_U4Tc7Ge6
_chemical_formula_sum 'U4 Tc7 Ge6'
_symmetry_space_group_name_H-M 'P 1'
_symmetry_Int_Tables_number 1
_cell_length_a 7.120
_cell_length_b 7.120
_cell_length_c 7.120
_cell_angle_alpha 109.47
_cell_angle_beta 109.47
_cell_angle_gamma 109.47
loop_
_symmetry_equiv_pos_as_xyz
'x,y,z'
loop_
_atom_site_label
_atom_site_type_symbol
_atom_site_fract_x
_atom_site_fract_y
_atom_site_fract_z
U1 U 0.000 0.000 0.500
U2 U 0.000 0.500 0.000
U3 U 0.500 0.000 0.000
U4 U 0.500 0.500 0.500
Tc1 Tc 0.000 0.000 0.000
Tc2 Tc 0.250 0.500 0.750
Tc3 Tc 0.250 0.750 0.500
Tc4 Tc 0.500 0.250 0.750
Tc5 Tc 0.500 0.750 0.250
Tc6 Tc 0.750 0.250 0.500
Tc7 Tc 0.750 0.500 0.250
Ge1 Ge 0.000 0.307 0.307
Ge2 Ge 0.000 0.693 0.693
Ge3 Ge 0.307 0.000 0.307
Ge4 Ge 0.307 0.307 0.000
Ge5 Ge 0.693 0.000 0.693
Ge6 Ge 0.693 0.693 0.000
```

Output
SG   Im-3m, No. 229
Energy   -164.59 eV per formula unit
Energy of formation   -0.4386 eV per atom

# 7
DFT (GGA-PBEsol) results for a relaxed YTc2Ge2 crystal.

CIF file:
```
data_YTc2Ge2
_chemical_formula_sum 'Y1 Tc2 Ge2'
_symmetry_space_group_name_H-M 'P 1'
_symmetry_Int_Tables_number 1
_cell_length_a 6.023
_cell_length_b 6.023
_cell_length_c 6.023
_cell_angle_alpha 140.55
_cell_angle_beta 140.55
_cell_angle_gamma 57.01
loop_
_symmetry_equiv_pos_as_xyz
'x,y,z'
loop_
_atom_site_label
_atom_site_type_symbol
_atom_site_fract_x
_atom_site_fract_y
_atom_site_fract_z
Y1 Y 0.000 0.000 0.000
Tc1 Tc 0.250 0.750 0.500
Tc2 Tc 0.750 0.250 0.500
Ge1 Ge 0.382 0.382 0.000
Ge2 Ge 0.618 0.618 0.000
```

Output
SG   I4/mmm, No. 139
Energy   -41.35 eV per formula unit
Energy of formation   -0.4242 eV per atom

# 8
DFT (GGA-PBEsol) results for a relaxed Y3TcGe crystal.

CIF file:
```
data_Y3TcGe
_chemical_formula_sum 'Y3 Tc1 Ge1'
_symmetry_space_group_name_H-M 'P 1'
_symmetry_Int_Tables_number 1
_cell_length_a 5.161
_cell_length_b 5.161
_cell_length_c 5.161
_cell_angle_alpha 90.00
_cell_angle_beta 90.00
_cell_angle_gamma 90.00
loop_
_symmetry_equiv_pos_as_xyz
'x,y,z'
loop_
_atom_site_label
_atom_site_type_symbol
_atom_site_fract_x
_atom_site_fract_y
_atom_site_fract_z
Y1 Y 0.000 0.000 0.500
Y2 Y 0.000 0.500 0.000
Y3 Y 0.500 0.000 0.000
Tc1 Tc 0.000 0.000 0.000
Ge1 Ge 0.500 0.500 0.500
```

Output
SG   Pm-3m, No. 221
Energy   -35.85 eV per formula unit
Energy of formation   0.1645 eV per atom

# 9
DFT (GGA-PBEsol) results for a relaxed ZnTcGe3 crystal.

CIF file:
```
data_ZnTcGe3
_chemical_formula_sum 'Zn1 Tc1 Ge3'
_symmetry_space_group_name_H-M 'P 1'
_symmetry_Int_Tables_number 1
_cell_length_a 4.650
_cell_length_b 4.650
_cell_length_c 4.650
_cell_angle_alpha 90.00
_cell_angle_beta 90.00
_cell_angle_gamma 90.00
loop_
_symmetry_equiv_pos_as_xyz
'x,y,z'
loop_
_atom_site_label
_atom_site_type_symbol
_atom_site_fract_x
_atom_site_fract_y
_atom_site_fract_z
Zn1 Zn 0.000 0.000 0.000
Tc1 Tc 0.500 0.500 0.500
Ge1 Ge 0.000 0.000 0.500
Ge2 Ge 0.000 0.500 0.000
Ge3 Ge 0.500 0.000 0.000
```

Output
SG   Pm-3m, No. 221
Energy   -21.44 eV per formula unit
Energy of formation   1.2453 eV per atom

# 10
DFT (GGA-PBEsol) results for a relaxed Zr2TcGe2 crystal.

CIF file:
```
data_Zr2TcGe2
_chemical_formula_sum 'Zr4 Tc2 Ge4'
_symmetry_space_group_name_H-M 'P 1'
_symmetry_Int_Tables_number 1
_cell_length_a 6.620
_cell_length_b 6.620
_cell_length_c 3.906
_cell_angle_alpha 90.00
_cell_angle_beta 90.00
_cell_angle_gamma 90.00
loop_
_symmetry_equiv_pos_as_xyz
'x,y,z'
loop_
_atom_site_label
_atom_site_type_symbol
_atom_site_fract_x
_atom_site_fract_y
_atom_site_fract_z
Zr1 Zr 0.172 0.328 0.000
Zr2 Zr 0.328 0.828 0.000
Zr3 Zr 0.672 0.172 0.000
Zr4 Zr 0.828 0.672 0.000
Tc1 Tc 0.000 0.000 0.500
Tc2 Tc 0.500 0.500 0.500
Ge1 Ge 0.135 0.635 0.500
Ge2 Ge 0.365 0.135 0.500
Ge3 Ge 0.635 0.865 0.500
Ge4 Ge 0.865 0.365 0.500
```

Output
SG   P4/mbm, No. 127
Energy   -43.06 eV per formula unit
Energy of formation   -0.7476 eV per atom